The following is a PBE-GGA calculation of crystalline CuSnPd6 at its relaxed geometry, from Alexandria via LeMat-Bulk.

Output
E_form in meV/atom: -155
SG: No. 2
M_tot in μB/atom: 0.0000
Polymorph energy (0 for the lowest one) in eV/atom: 0.097

Unit cell a=6.968 b=7.431 c=5.088 alpha=43.24 beta=46.83 gamma=57.91
Sites, in units of the cell vectors:
Pd 0.050 0.561 0.141
Pd 0.752 0.950 0.737
Pd 0.248 0.050 0.263
Cu 0.000 0.000 0.000
Pd 0.560 0.752 0.639
Pd 0.950 0.439 0.859
Sn 0.500 0.500 0.500
Pd 0.440 0.248 0.361